# 1
The following is a PBE calculation of a relaxed LiTc2Os crystal, from Alexandria via LeMat-Bulk.

Cell lengths 4.8552, 4.8552, 2.6635 Å; angles 90.00, 90.00, 116.94 degrees
Element x y z (fractional)
1 Li 0.0000 0.0000 0.0000
2 Tc 0.0000 0.5000 0.5000
3 Tc 0.5000 0.0000 0.5000
4 Os 0.5000 0.5000 0.0000

Summary:
raw total energy	-8.17	eV per atom
density of states at the Fermi level	5.156	states/eV/cell
calculated formation energy	0.3038	eV/atom
volume	14.0	Å³ per atom


# 2
The following is a PBE calculation of a relaxed Nd3Ho4Pu crystal, from Alexandria via LeMat-Bulk.

Cell lengths 8.8649, 8.8649, 8.8649 Å; angles 157.60, 97.85, 86.49 degrees
Element x y z (fractional)
1 Nd 0.0000 0.0000 0.0000
2 Nd 0.2644 0.7644 0.5000
3 Nd 0.7356 0.2356 0.5000
4 Ho 0.1201 0.3677 0.7524
5 Ho 0.3847 0.6323 0.7524
6 Ho 0.6153 0.3677 0.2476
7 Ho 0.8799 0.6323 0.2476
8 Pu 0.5000 0.5000 0.0000

Summary:
raw total energy	-5.71	eV per atom
density of states at the Fermi level	15.815	states/eV/cell
calculated formation energy	0.1538	eV/atom
volume	32.4	Å³ per atom


# 3
The following is a PBE calculation of a relaxed Sr6Tc3O14 crystal, from Alexandria via LeMat-Bulk.

Cell lengths 8.8889, 8.8889, 5.4458 Å; angles 90.00, 90.00, 120.00 degrees
Element x y z (fractional)
1 Sr 0.0107 0.5603 0.0000
2 Sr 0.2914 0.0793 0.5278
3 Sr 0.4397 0.4504 0.0000
4 Sr 0.5496 0.9893 0.0000
5 Sr 0.7879 0.7086 0.5278
6 Sr 0.9207 0.2121 0.5278
7 Tc 0.0000 0.0000 0.9767
8 Tc 0.3333 0.6667 0.4385
9 Tc 0.6667 0.3333 0.3596
10 O 0.0000 0.0000 0.3136
11 O 0.0607 0.8520 0.8216
12 O 0.1480 0.2087 0.8216
13 O 0.1975 0.4535 0.2968
14 O 0.2560 0.8025 0.2968
15 O 0.3333 0.6667 0.7741
16 O 0.4585 0.1994 0.1487
17 O 0.5298 0.4048 0.5643
18 O 0.5465 0.7440 0.2968
19 O 0.5952 0.1249 0.5643
20 O 0.7409 0.5415 0.1487
21 O 0.7913 0.9393 0.8216
22 O 0.8006 0.2591 0.1487
23 O 0.8751 0.4702 0.5643

Summary:
formation energy (no corrections)	-2.21	eV/atom
raw total energy	-7.02	eV per atom
density of states at the Fermi level	12.829	states/eV/cell
volume	16.2	Å³ per atom


# 4
The following is a PBE calculation of a relaxed Sm8Dy2Cd crystal, from Alexandria via LeMat-Bulk.

Cell lengths 9.4305, 9.4305, 7.9870 Å; angles 104.94, 104.94, 31.06 degrees
Element x y z (fractional)
1 Sm 0.0456 0.0456 0.2233
2 Sm 0.1356 0.1356 0.6794
3 Sm 0.3191 0.3191 0.5898
4 Sm 0.4099 0.4099 0.0549
5 Sm 0.5901 0.5901 0.9451
6 Sm 0.6809 0.6809 0.4102
7 Sm 0.8644 0.8644 0.3206
8 Sm 0.9544 0.9544 0.7767
9 Dy 0.2245 0.2245 0.1345
10 Dy 0.7755 0.7755 0.8655
11 Cd 0.5000 0.5000 0.5000

Summary:
raw total energy	-4.37	eV per atom
density of states at the Fermi level	15.118	states/eV/cell
calculated formation energy	-0.0175	eV/atom
volume	32.1	Å³ per atom


- Which of these has the lowest density of states at the Fermi level?
  LiTc2Os